(1)
A plane-wave DFT calculation with PBE was carried out for crystalline K3TlIr at its relaxed geometry.

Calculated values
Crystal system: cubic
Magnetic moment, μB per atom: 0.296
Calculated density, g cm⁻³: 3.72
Formation energy from the elements, eV/atom: 0.73

```
K3TlIr
1.0
6.123 0.000 0.000
0.000 6.123 0.000
0.000 0.000 6.123
K Tl Ir
3 1 1
direct
0.000 0.000 0.500 K
0.000 0.500 0.000 K
0.500 0.000 0.000 K
0.500 0.500 0.500 Tl
0.000 0.000 0.000 Ir
```

(2)
A plane-wave DFT calculation with PBE was carried out for crystalline ReBi2Mo at its relaxed geometry.

Calculated values
Relative energy among the computed polymorphs, eV/f.u.: 3.04
Crystal system: tetragonal
Magnetic moment, μB per atom: 0.883
Calculated density, g cm⁻³: 9.22
Formation energy from the elements, eV/atom: 1.71

```
ReBi2Mo
1.0
-3.102 3.102 6.547
3.102 -3.102 6.547
3.102 3.102 -6.547
Re Bi Mo
2 4 2
direct
0.000 0.000 0.000 Re
0.750 0.250 0.500 Re
0.109 0.625 0.984 Bi
0.375 0.359 0.484 Bi
0.641 0.125 0.016 Bi
0.875 0.891 0.516 Bi
0.250 0.750 0.500 Mo
0.500 0.500 0.000 Mo
```

(3)
A plane-wave DFT calculation with PBE was carried out for crystalline Na3Nd3AlO8 at its relaxed geometry.

Calculated values
VASP energy, eV/cell: -98.4
Crystal system: trigonal
Magnetic moment, μB per atom: 0.075
Calculated density, g cm⁻³: 4.73

```
Na3Nd3AlO8
1.0
3.455 1.995 5.572
-3.455 1.995 5.572
0.000 -3.989 5.572
Na Nd Al O
3 3 1 8
direct
0.000 0.500 0.500 Na
0.500 0.000 0.500 Na
0.500 0.500 0.000 Na
0.000 0.000 0.500 Nd
0.000 0.500 0.000 Nd
0.500 0.000 0.000 Nd
0.500 0.500 0.500 Al
0.240 0.240 0.240 O
0.280 0.707 0.707 O
0.293 0.293 0.720 O
0.293 0.720 0.293 O
0.707 0.280 0.707 O
0.707 0.707 0.280 O
0.720 0.293 0.293 O
0.760 0.760 0.760 O
```

(4)
A plane-wave DFT calculation with PBE was carried out for crystalline Pr2Tm3Th at its relaxed geometry.

Calculated values
Relative energy among the computed polymorphs, eV/f.u.: 0.00
Crystal system: orthorhombic
Magnetic moment, μB per atom: 0.000
Calculated density, g cm⁻³: 8.61
Formation energy from the elements, eV/atom: 0.04

```
Pr2Tm3Th
1.0
5.748 0.000 0.000
0.000 10.872 0.000
0.000 0.000 6.303
Pr Tm Th
4 6 2
direct
0.000 0.082 0.000 Pr
0.000 0.918 0.500 Pr
0.500 0.260 0.829 Pr
0.500 0.740 0.329 Pr
0.000 0.251 0.495 Tm
0.000 0.426 0.023 Tm
0.000 0.574 0.523 Tm
0.000 0.749 0.995 Tm
0.500 0.087 0.339 Tm
0.500 0.913 0.839 Tm
0.500 0.418 0.340 Th
0.500 0.582 0.840 Th
```